! PBE-GGA ZnBi4O8, optimized geometry; values from VASP
&SYSTEM
  ibrav = 0, nat = 13, ntyp = 3
/
ATOMIC_SPECIES
Zn 65.41 Zn.upf
Bi 208.98 Bi.upf
O 16.00 O.upf
CELL_PARAMETERS angstrom
3.4497 0.0000 0.0000
-0.4890 7.4708 0.0000
-0.5350 -1.7939 8.7347
ATOMIC_POSITIONS angstrom
Zn 0.0000 0.0000 0.0000
Bi -0.3276 -0.3306 5.8996
Bi 0.7081 3.8889 6.4771
Bi 1.4198 1.7030 3.2281
Bi 3.1091 3.4994 0.4651
O -0.2860 2.2535 4.5238
O 0.8509 1.3204 7.8409
O 0.6984 5.8075 7.6244
O 1.3547 -0.2198 4.5201
O 1.3927 3.7672 1.8496
O 2.4792 4.9924 5.5287
O 3.2008 1.4563 1.2685
O 2.5430 3.6949 8.3701
! Magnetization   0.0 μB per formula unit
! E_form (uncorrected)   -1309 kJ/mol of formula units